[1]
Zn3SeCl: optimized geometry, PBEsol.

Results
Magnetization, μB per formula unit: 0.00
Formation energy from raw total energies, eV per atom: 0.52

Cell: 4.790 4.790 4.790 Å, 90.00 90.00 90.00°
Space group Pm-3m (No. 221)
Unique sites:
1 Zn 0.000 0.000 0.500
2 Se 0.500 0.500 0.500
3 Cl 0.000 0.000 0.000

=====

[2]
TaMoW2: optimized geometry, PBEsol.

Results
Magnetization, μB per formula unit: 0.00
ΔH_f (0 K), meV per atom: -114
Offset from the most stable computed form, kJ/mol of formula units: 0

Cell: 3.170 4.468 9.016 Å, 90.00 90.00 90.00°
Space group Immm (No. 71)
Unique sites:
1 Ta 0.000 0.000 0.000
2 Mo 0.000 0.000 0.500
3 W 0.000 0.500 0.246

=====

[3]
CaPF3: optimized geometry, PBEsol.

Results
Magnetization, μB per formula unit: 0.00
Formation energy from raw total energies, eV per atom: -1.55

Cell: 4.328 4.328 4.328 Å, 90.00 90.00 90.00°
Space group Pm-3m (No. 221)
Unique sites:
1 Ca 0.000 0.000 0.000
2 P 0.500 0.500 0.500
3 F 0.000 0.500 0.500

=====

[4]
CrNi2Pb: optimized geometry, PBEsol.

Results
Magnetization, μB per formula unit: 3.64
ΔH_f (0 K), meV per atom: 327

Cell: 3.820 3.820 7.714 Å, 90.00 90.00 90.00°
Space group I-4m2 (No. 119)
Unique sites:
1 Cr 0.000 0.000 0.000
2 Ni 0.000 0.000 0.500
3 Ni 0.000 0.500 0.750
4 Pb 0.000 0.500 0.250

=====

[5]
HfSbRuI2: optimized geometry, PBEsol.

Results
Magnetization, μB per formula unit: 0.46
Formation energy from raw total energies, eV per atom: 0.81
Offset from the most stable computed form, kJ/mol of formula units: 0

Cell: 5.158 5.158 5.072 Å, 90.00 90.00 90.00°
Space group P4/mmm (No. 123)
Unique sites:
1 Hf 0.000 0.000 0.000
2 Sb 0.500 0.500 0.000
3 Ru 0.500 0.500 0.500
4 I 0.000 0.500 0.500

=====

[6]
Lu2TeO6: optimized geometry, PBEsol.

Results
Magnetization, μB per formula unit: 0.00
Formation energy from raw total energies, eV per atom: -2.65
Offset from the most stable computed form, kJ/mol of formula units: 1

Cell: 8.9079 8.9079 5.0242 Å, 90.00 90.00 120.00°
Space group P321 (No. 150)
Unique sites:
1 Lu 0.0000 0.3776 0.0000
2 Lu 0.0000 0.7142 0.5000
3 Te 0.0000 0.0000 0.0000
4 Te 0.3333 0.6667 0.5025
5 O 0.0815 0.2051 0.2158
6 O 0.1283 0.5857 0.2841
7 O 0.2249 0.4598 0.7223

=====

[7]
CaYI3: optimized geometry, PBEsol.

Results
Magnetization, μB per formula unit: 0.00
Formation energy from raw total energies, eV per atom: -0.80

Cell: 5.872 5.872 5.872 Å, 90.00 90.00 90.00°
Space group Pm-3m (No. 221)
Unique sites:
1 Ca 0.000 0.000 0.000
2 Y 0.500 0.500 0.500
3 I 0.000 0.500 0.500

=====

[8]
HgIrPb: optimized geometry, PBEsol.

Results
Magnetization, μB per formula unit: 0.00
ΔH_f (0 K), meV per atom: 543
Offset from the most stable computed form, kJ/mol of formula units: 0

Cell: 4.6799 4.6799 3.2310 Å, 90.00 90.00 120.00°
Space group P3m1 (No. 156)
Unique sites:
1 Hg 0.0000 0.0000 0.0000
2 Ir 0.3333 0.6667 0.2928
3 Pb 0.6667 0.3333 0.5087

=====

[9]
AlPbS2: optimized geometry, PBEsol.

Results
Magnetization, μB per formula unit: 0.00
Formation energy from raw total energies, eV per atom: -0.78

Cell: 3.4778 3.4778 24.6965 Å, 90.00 90.00 120.00°
Space group R-3m (No. 166, hexagonal axes)
Unique sites:
1 Al 0.0000 0.0000 0.0000
2 Pb 0.0000 0.0000 0.5000
3 S 0.0000 0.0000 0.3861

=====

[10]
Ta2Rh: optimized geometry, PBEsol.

Results
Magnetization, μB per formula unit: 0.00
ΔH_f (0 K), meV per atom: -288

Cell: 9.779 9.779 5.156 Å, 90.00 90.00 90.00°
Space group P4_2/mnm (No. 136)
Unique sites:
1 Ta 0.062 0.270 0.000
2 Ta 0.104 0.104 0.500
3 Ta 0.183 0.817 0.253
4 Rh 0.000 0.000 0.000
5 Rh 0.037 0.360 0.500

=====

[11]
Ca2CdBi: optimized geometry, PBEsol.

Results
Magnetization, μB per formula unit: 0.00
ΔH_f (0 K), meV per atom: -587

Cell: 7.701 7.701 7.701 Å, 90.00 90.00 90.00°
Space group Fm-3m (No. 225)
Unique sites:
1 Ca 0.250 0.250 0.250
2 Cd 0.000 0.000 0.000
3 Bi 0.000 0.000 0.500

=====

[12]
CaInPb2: optimized geometry, PBEsol.

Results
Magnetization, μB per formula unit: 0.00
ΔH_f (0 K), meV per atom: -326

Cell: 4.723 4.723 9.871 Å, 90.00 90.00 90.00°
Space group I4/mmm (No. 139)
Unique sites:
1 Ca 0.000 0.000 0.000
2 In 0.000 0.000 0.500
3 Pb 0.000 0.500 0.250